VASP calculation (GGA-PBE) on TlZnSn after structural relaxation.

a b c (Å): 4.9504 4.9504 4.9504
angles (deg): 60.00 60.00 60.00
Element x y z (fractional)
Tl (0.0000, 0.0000, 0.0000)
Zn (0.5000, 0.5000, 0.5000)
Sn (0.2500, 0.2500, 0.2500)

Results
SG	No. 216
energy above the most stable polymorph in this dataset	0	meV/atom

VASP calculation (GGA-PBE) on GdErCl6 after structural relaxation.

a b c (Å): 6.8683 6.8683 6.4468
angles (deg): 100.31 100.31 120.12
Element x y z (fractional)
Gd (0.0000, 0.0000, 0.0000)
Er (0.3309, 0.6691, 0.0000)
Cl (0.1061, 0.4204, 0.2412)
Cl (0.2295, 0.2603, 0.7576)
Cl (0.3910, 0.0543, 0.2460)
Cl (0.5796, 0.8939, 0.7588)
Cl (0.7397, 0.7705, 0.2424)
Cl (0.9457, 0.6090, 0.7540)

Results
uncorrected energy	-38.5	eV/cell
SG	No. 5

VASP calculation (GGA-PBE) on MoSe2 after structural relaxation.

a b c (Å): 6.2802 6.2986 6.2803
angles (deg): 90.00 90.00 90.00
Element x y z (fractional)
Mo (0.0000, 0.0000, 0.0000)
Mo (0.0000, 0.5000, 0.5000)
Mo (0.5000, 0.0000, 0.5000)
Mo (0.5000, 0.5000, 0.0000)
Se (0.1284, 0.1292, 0.3716)
Se (0.1284, 0.3708, 0.8716)
Se (0.3716, 0.6292, 0.3716)
Se (0.3716, 0.8708, 0.8716)
Se (0.6284, 0.1292, 0.1284)
Se (0.6284, 0.3708, 0.6284)
Se (0.8716, 0.6292, 0.1284)
Se (0.8716, 0.8708, 0.6284)

Results
uncorrected energy	-73.1	eV/cell
SG	No. 61

VASP calculation (GGA-PBE) on TlCu3SnTe4 after structural relaxation.

a b c (Å): 6.5641 6.5641 6.5641
angles (deg): 90.00 90.00 90.00
Element x y z (fractional)
Tl (0.0000, 0.0000, 0.0000)
Cu (0.0000, 0.5000, 0.5000)
Cu (0.5000, 0.0000, 0.5000)
Cu (0.5000, 0.5000, 0.0000)
Sn (0.5000, 0.5000, 0.5000)
Te (0.2583, 0.2583, 0.2583)
Te (0.2583, 0.7417, 0.7417)
Te (0.7417, 0.2583, 0.7417)
Te (0.7417, 0.7417, 0.2583)

Results
SG	No. 215
energy above the most stable polymorph in this dataset	139	meV/atom

VASP calculation (GGA-PBE) on NdSmZn2Sn2 after structural relaxation.

a b c (Å): 4.5571 4.5571 16.3746
angles (deg): 90.00 90.00 120.00
Element x y z (fractional)
Nd (0.0000, 0.0000, 0.0000)
Nd (0.0000, 0.0000, 0.5000)
Sm (0.0000, 0.0000, 0.2500)
Sm (0.0000, 0.0000, 0.7500)
Zn (0.3333, 0.6667, 0.1590)
Zn (0.3333, 0.6667, 0.3410)
Zn (0.6667, 0.3333, 0.6590)
Zn (0.6667, 0.3333, 0.8410)
Sn (0.3333, 0.6667, 0.6165)
Sn (0.3333, 0.6667, 0.8835)
Sn (0.6667, 0.3333, 0.1165)
Sn (0.6667, 0.3333, 0.3835)

Results
SG	No. 194
energy above the most stable polymorph in this dataset	0	meV/atom

VASP calculation (GGA-PBE) on SmTcNO after structural relaxation.

a b c (Å): 4.8890 4.8890 4.4848
angles (deg): 90.00 90.00 90.00
Element x y z (fractional)
Sm (0.2500, 0.7500, 0.0000)
Sm (0.7500, 0.2500, 0.0000)
Tc (0.2500, 0.2500, 0.4979)
Tc (0.7500, 0.7500, 0.5021)
N (0.2500, 0.2500, 0.9964)
N (0.7500, 0.7500, 0.0036)
O (0.2500, 0.7500, 0.5000)
O (0.7500, 0.2500, 0.5000)

Results
SG	No. 129
energy above the most stable polymorph in this dataset	688	meV/atom

VASP calculation (GGA-PBE) on CoSbPt after structural relaxation.

a b c (Å): 7.3484 7.3484 3.2452
angles (deg): 90.00 90.00 120.00
Element x y z (fractional)
Co (0.0000, 0.6138, 0.0000)
Co (0.3862, 0.3862, 0.0000)
Co (0.6138, 0.0000, 0.0000)
Sb (0.0000, 0.2979, 0.5000)
Sb (0.2979, 0.0000, 0.5000)
Sb (0.7021, 0.7021, 0.5000)
Pt (0.0000, 0.0000, 0.0000)
Pt (0.3333, 0.6667, 0.5000)
Pt (0.6667, 0.3333, 0.5000)

Results
uncorrected energy	-50.8	eV/cell
SG	No. 189

VASP calculation (GGA-PBE) on LaPuTe4Se2 after structural relaxation.

a b c (Å): 4.2950 13.0588 13.0588
angles (deg): 18.93 90.00 90.00
Element x y z (fractional)
La (0.0000, 0.0000, 0.0000)
Pu (0.5000, 0.6418, 0.6418)
Te (0.0000, 0.3950, 0.3950)
Te (0.0000, 0.7411, 0.7411)
Te (0.5000, 0.2410, 0.2410)
Te (0.5000, 0.8949, 0.8949)
Se (0.0000, 0.1189, 0.1189)
Se (0.5000, 0.5262, 0.5262)

Results
uncorrected energy	-47.2	eV/cell
SG	No. 38